! CaPuGa2Pt2 | the Alexandria database | PBE | optimized geometry; values from VASP
&SYSTEM
  ibrav = 0, nat = 6, ntyp = 4
/
ATOMIC_SPECIES
Ca 40.08 Ca.upf
Ga 69.72 Ga.upf
Pt 195.08 Pt.upf
Pu 244.00 Pu.upf
CELL_PARAMETERS angstrom
-3.934 0.820 -1.861
0.912 -4.044 1.560
-2.741 1.948 6.652
ATOMIC_POSITIONS crystal
Ca 0.000 0.000 0.000
Ga 0.333 0.667 0.256
Ga 0.667 0.333 0.744
Pt 0.333 0.667 0.726
Pt 0.667 0.333 0.274
Pu 0.000 0.000 0.500
! **Space-group type**: P-3m1 (164)
! **Energy of formation from the pure elements**: -810.5 meV/atom
! **VASP energy**: -6.555 eV per atom